The following is a DFT calculation (GGA-PBE) of crystalline DyPuSbAu at its relaxed geometry.

Properties
* ΔE_f (raw): -0.65 eV/atom
* electronic total energy: -7.232 eV per atom
* theoretical density: 11.840 g/cm3
* total magnetic moment: 6.97 μB/cell
* space-group type: No. 216

Cell lengths 5.2395, 5.2395, 5.2395 Å; angles 60.00, 60.00, 60.00 degrees
Each line ends with the local moment (μB).
Fractional coordinates of all 4 atoms:
Sb (0.5000, 0.5000, 0.5000)  -0.04
Dy (0.2500, 0.2500, 0.2500)  0.55
Au (0.0000, 0.0000, 0.0000)  0.08
Pu (0.7500, 0.7500, 0.7500)  5.63

***

The following is a DFT calculation (GGA-PBE) of crystalline ZnPN2 at its relaxed geometry.

Properties
* ΔE_f (raw): 1.54 eV/atom
* electronic total energy: -4.293 eV per atom
* theoretical density: 5.260 g/cm3
* total magnetic moment: 0.00 μB/cell
* space-group type: No. 225

Cell lengths 3.8154, 3.8154, 3.8154 Å; angles 60.00, 60.00, 60.00 degrees
Fractional coordinates of all 4 atoms:
P (0.0000, 0.0000, 0.0000)
Zn (0.5000, 0.5000, 0.5000)
N (0.2500, 0.2500, 0.2500)
N (0.7500, 0.7500, 0.7500)

***

The following is a DFT calculation (GGA-PBE) of crystalline MnZnGe2S at its relaxed geometry.

Properties
* ΔE_f (raw): 0.75 eV/atom
* electronic total energy: -4.008 eV per atom
* theoretical density: 4.608 g/cm3
* total magnetic moment: 4.46 μB/cell
* space-group type: No. 123

Cell lengths 4.7744, 4.7061, 4.7744 Å; angles 90.00, 90.00, 90.00 degrees
Each line ends with the local moment (μB).
Fractional coordinates of all 5 atoms:
S (0.5000, 0.5000, 0.5000)  0.07
Ge (0.0000, 0.0000, 0.5000)  -0.01
Ge (0.5000, 0.0000, 0.0000)  -0.03
Mn (0.0000, 0.5000, 0.0000)  4.12
Zn (0.0000, 0.0000, 0.0000)  0.00

***

Number 2 is which compound?
ZnPN2